No. 1
Tb2Nd3Tm6 (PBE, optimized geometry); spin magnetization = 0.00 μB per atom; V = 369.8 Å³/cell; energy of formation = 0.20 eV/atom; final energy = -48.2 eV per cell; DOS at the Fermi energy = 17.7 states/eV per cell; symmetry = C2/m
1.0
3.0662 -5.3213 0.0000
3.0662 5.3213 0.0000
-2.0665 0.0000 11.3329
Tb Nd Tm
2 3 6
Direct
0.1663 0.8337 0.0000
0.8337 0.1663 0.0000
0.0000 0.0000 0.5000
0.3359 0.6641 0.5000
0.6641 0.3359 0.5000
0.0851 0.4181 0.7537
0.2493 0.2493 0.2466
0.4181 0.0851 0.7537
0.5819 0.9149 0.2463
0.7507 0.7507 0.7534
0.9149 0.5819 0.2463

***

No. 2
KMg2Ag (PBE, optimized geometry); spin magnetization = 0.00 μB per atom; V = 109.3 Å³/cell; energy of formation = 0.07 eV/atom; final energy = -6.8 eV per cell; DOS at the Fermi energy = 1.4 states/eV per cell; symmetry = C2/m
1.0
6.5771 -1.6011 0.0000
6.5771 1.6011 0.0000
-2.5120 0.0000 5.1901
K Mg Ag
1 2 1
Direct
0.0000 0.0000 0.0000
0.2032 0.2032 0.7033
0.7968 0.7968 0.2967
0.5000 0.5000 0.5000

***

No. 3
Hf9Sc4In11 (PBE, optimized geometry); spin magnetization = 0.03 μB per atom; V = 527.4 Å³/cell; energy of formation = -0.15 eV/atom; final energy = -148.7 eV per cell; DOS at the Fermi energy = 18.8 states/eV per cell; symmetry = Cmmm
1.0
9.0686 -9.3210 0.0000
9.0686 9.3210 0.0000
0.0000 0.0000 3.1198
Hf Sc In
9 4 11
Direct
0.0000 0.0000 0.0000
0.1253 0.6281 0.0000
0.2937 0.4637 0.0000
0.3719 0.8747 0.0000
0.4637 0.2937 0.0000
0.5363 0.7063 0.0000
0.6281 0.1253 0.0000
0.7063 0.5363 0.0000
0.8747 0.3719 0.0000
0.0520 0.2195 0.0000
0.2195 0.0520 0.0000
0.7805 0.9480 0.0000
0.9480 0.7805 0.0000
0.0852 0.4224 0.5000
0.1509 0.8491 0.5000
0.2577 0.2577 0.5000
0.3291 0.6709 0.5000
0.4224 0.0852 0.5000
0.5000 0.5000 0.5000
0.5776 0.9148 0.5000
0.6709 0.3291 0.5000
0.7423 0.7423 0.5000
0.8491 0.1509 0.5000
0.9148 0.5776 0.5000